## a
Here is a relaxed structure of HoB2 from OQMD via LeMat-Bulk. Energies are from PBE.

```
HoB2
1.0
0.0000 3.2548 3.2548
3.2548 0.0000 3.2548
3.2548 3.2548 0.0000
B Ho
4 2
Direct
0.6250 0.6250 0.1250
0.6250 0.6250 0.6250
0.6250 0.1250 0.6250
0.1250 0.6250 0.6250
0.2500 0.2500 0.2500
0.0000 0.0000 0.0000
```

Properties
V: 68.96 Å³/cell
Space group: Fd-3m

=====

## b
Here is a relaxed structure of HoB2 from OQMD via LeMat-Bulk. Energies are from PBE.

```
HoB2
1.0
1.1574 -6.0929 5.4632
3.0733 1.6888 7.4842
-4.8440 -0.5409 6.6748
B Ho
4 2
Direct
0.8750 0.3750 0.3750
0.3750 0.8750 0.3750
0.3750 0.3750 0.3750
0.3750 0.3750 0.8750
0.2500 0.2500 0.2500
0.5000 0.5000 0.5000
```

Properties
V: 399.22 Å³/cell
Space group: Fd-3m

=====

Taking the most stable structure as the zero point, the relative energies in meV per atom are a 0; b 2399.

=====

## a
Here is a relaxed structure of HoInB4 from OQMD via LeMat-Bulk. Energies are from PBE.

```
HoInB4
1.0
0.8318 4.1432 2.9022
-4.6355 2.0284 0.8241
2.9031 -4.1307 0.8893
In B Ho
1 4 1
Direct
0.0000 0.0000 0.0000
0.5661 0.2389 0.3272
0.0883 0.7611 0.3272
0.4339 0.7611 0.6728
0.9117 0.2389 0.6728
0.5000 0.5000 0.0000
```

Properties
V: 69.80 Å³/cell
Space group: Immm

=====

## b
Here is a relaxed structure of HoInB4 from OQMD via LeMat-Bulk. Energies are from PBE.

```
HoInB4
1.0
-2.9822 1.1158 -0.5298
0.4723 -2.4144 2.0896
0.8940 5.0812 5.6690
In B Ho
1 4 1
Direct
0.0000 0.0000 0.5000
0.3333 0.6667 0.2490
0.6667 0.3333 0.2490
0.3333 0.6667 0.7510
0.6667 0.3333 0.7510
0.0000 0.0000 0.0000
```

Properties
V: 69.16 Å³/cell
Space group: P6/mmm

=====

Taking the most stable structure as the zero point, the relative energies in meV per atom are a 0; b 138.

=====

## a
Here is a relaxed structure of HoInB from OQMD via LeMat-Bulk. Energies are from PBE.

```
HoInB
1.0
-2.1246 -3.6116 1.9293
-3.2825 0.6781 3.1694
-4.4092 -0.8960 -1.0178
Ho B In
1 1 1
Direct
0.0000 0.0000 0.0000
0.2500 0.2500 0.2500
0.7500 0.7500 0.7500
```

Properties
V: 69.41 Å³/cell
Space group: F-43m

=====

## b
Here is a relaxed structure of HoInB from OQMD via LeMat-Bulk. Energies are from PBE.

```
HoInB
1.0
2.0122 -4.0442 -0.0181
-2.4131 -3.7270 0.8314
-0.8495 -2.9305 -3.3310
Ho B In
1 1 1
Direct
0.7500 0.7500 0.7500
0.2500 0.2500 0.2500
0.0000 0.0000 0.0000
```

Properties
V: 65.18 Å³/cell
Space group: F-43m

=====

Taking the most stable structure as the zero point, the relative energies in meV per atom are a 0; b 25.

=====

## a
Here is a relaxed structure of LaHoNi8B2 from OQMD via LeMat-Bulk. Energies are from PBE.

```
LaHoNi8B2
1.0
-2.4990 -4.3128 0.6534
4.9578 0.1802 0.8121
-1.1617 1.6909 6.7171
Ni B Ho La
8 2 1 1
Direct
0.5000 0.5000 0.7034
0.6667 0.3333 0.0000
0.3333 0.6667 0.0000
0.5000 0.0000 0.7034
0.5000 0.5000 0.2966
0.5000 0.0000 0.2966
0.0000 0.5000 0.7034
0.0000 0.5000 0.2966
0.3333 0.6667 0.5000
0.6667 0.3333 0.5000
0.0000 0.0000 0.5000
0.0000 0.0000 0.0000
```

Properties
V: 153.72 Å³/cell
Space group: P6/mmm

=====

## b
Here is a relaxed structure of LaHoNi8B2 from OQMD via LeMat-Bulk. Energies are from PBE.

```
LaHoNi8B2
1.0
-3.7048 -3.4291 -0.1620
2.9975 0.2897 4.0548
-4.3794 4.5940 2.9092
Ni B Ho La
8 2 1 1
Direct
0.5000 0.5000 0.7096
0.5000 0.5000 0.2904
0.6667 0.3333 0.0000
0.0000 0.5000 0.2904
0.3333 0.6667 0.0000
0.5000 0.0000 0.7096
0.0000 0.5000 0.7096
0.5000 0.0000 0.2904
0.6667 0.3333 0.5000
0.3333 0.6667 0.5000
0.0000 0.0000 0.0000
0.0000 0.0000 0.5000
```

Properties
V: 154.25 Å³/cell
Space group: P6/mmm

=====

Taking the most stable structure as the zero point, the relative energies in meV per atom are a 0; b 51.

=====

## a
Here is a relaxed structure of LiHoB from OQMD via LeMat-Bulk. Energies are from PBE.

```
LiHoB
1.0
0.0000 2.9881 2.9881
2.9881 0.0000 2.9881
2.9881 2.9881 0.0000
Ho Li B
1 1 1
Direct
0.2500 0.2500 0.2500
0.0000 0.0000 0.0000
0.5000 0.5000 0.5000
```

Properties
V: 53.36 Å³/cell
Space group: F-43m

=====

## b
Here is a relaxed structure of LiHoB from OQMD via LeMat-Bulk. Energies are from PBE.

```
LiHoB
1.0
1.0846 1.4435 3.7843
-2.6347 2.4629 2.1386
-1.9183 -1.4614 3.4302
Li B Ho
1 1 1
Direct
0.7500 0.7500 0.7500
0.0000 0.0000 0.0000
0.2500 0.2500 0.2500
```

Properties
V: 52.13 Å³/cell
Space group: F-43m

=====

## c
Here is a relaxed structure of LiHoB from OQMD via LeMat-Bulk. Energies are from PBE.

```
LiHoB
1.0
-3.9417 -0.9830 -0.0188
-2.4561 1.3982 2.9183
-2.7922 2.8187 -0.8728
B Ho Li
1 1 1
Direct
0.0000 0.0000 0.0000
0.5000 0.5000 0.5000
0.7500 0.7500 0.7500
```

Properties
V: 47.41 Å³/cell
Space group: F-43m

=====

Taking the most stable structure as the zero point, the relative energies in meV per atom are a 582; b 0; c 381.

=====

## a
Here is a relaxed structure of LiHoB4 from OQMD via LeMat-Bulk. Energies are from PBE.

```
LiHoB4
1.0
3.1893 0.0000 0.0000
-1.5946 2.7620 0.0000
0.0000 0.0000 6.6974
B Ho Li
4 1 1
Direct
0.6667 0.3333 0.7794
0.3333 0.6667 0.7794
0.6667 0.3333 0.2206
0.3333 0.6667 0.2206
0.0000 0.0000 0.5000
0.0000 0.0000 0.0000
```

Properties
V: 59.00 Å³/cell
Space group: P6/mmm

=====

## b
Here is a relaxed structure of LiHoB4 from OQMD via LeMat-Bulk. Energies are from PBE.

```
LiHoB4
1.0
-1.5695 2.6791 3.8267
1.5695 -2.6791 3.8267
1.5695 2.6791 -3.8267
B Li Ho
4 1 1
Direct
0.0802 0.7559 0.3243
0.9198 0.2441 0.6757
0.4316 0.7559 0.6757
0.5684 0.2441 0.3243
0.0000 0.0000 0.0000
0.5000 0.5000 0.0000
```

Properties
V: 64.36 Å³/cell
Space group: Immm

=====

Taking the most stable structure as the zero point, the relative energies in meV per atom are a 48; b 0.

=====

## a
Here is a relaxed structure of HoMgB4 from OQMD via LeMat-Bulk. Energies are from PBE.

```
HoMgB4
1.0
1.8955 -3.8567 2.3910
-2.3432 0.4054 4.3045
-0.7744 -0.9061 -4.7711
Ho B Mg
1 4 1
Direct
0.0000 0.0000 0.0000
0.5832 0.2544 0.3288
0.9256 0.2544 0.6712
0.0744 0.7456 0.3288
0.4168 0.7456 0.6712
0.5000 0.5000 0.0000
```

Properties
V: 65.53 Å³/cell
Space group: Immm

=====

## b
Here is a relaxed structure of HoMgB4 from OQMD via LeMat-Bulk. Energies are from PBE.

```
HoMgB4
1.0
3.1828 0.0000 0.0000
-1.5914 2.7564 0.0000
0.0000 0.0000 7.3180
Mg B Ho
1 4 1
Direct
0.0000 0.0000 0.5000
0.3333 0.6667 0.2617
0.3333 0.6667 0.7383
0.6667 0.3333 0.7383
0.6667 0.3333 0.2617
0.0000 0.0000 0.0000
```

Properties
V: 64.20 Å³/cell
Space group: P6/mmm

=====

Taking the most stable structure as the zero point, the relative energies in meV per atom are a 0; b 14.

=====

## a
Here is a relaxed structure of HoBMo from OQMD via LeMat-Bulk. Energies are from PBE.

```
HoBMo
1.0
6.7458 0.0000 0.0000
0.0000 3.4122 0.0000
0.0000 0.0000 8.3049
Ho Mo B
4 4 4
Direct
0.9801 0.2500 0.8223
0.0199 0.7500 0.1777
0.4801 0.2500 0.6777
0.5199 0.7500 0.3223
0.3592 0.2500 0.0499
0.8592 0.2500 0.4501
0.1408 0.7500 0.5499
0.6408 0.7500 0.9501
0.2067 0.2500 0.3791
0.7067 0.2500 0.1209
0.2933 0.7500 0.8791
0.7933 0.7500 0.6209
```

Properties
V: 191.16 Å³/cell
Space group: Pnma

=====

## b
Here is a relaxed structure of HoBMo from OQMD via LeMat-Bulk. Energies are from PBE.

```
HoBMo
1.0
-1.2685 -3.5598 -1.6715
-3.2939 -1.9534 1.5523
-3.5265 -0.1323 -2.1497
B Ho Mo
1 1 1
Direct
0.0000 0.0000 0.0000
0.2500 0.2500 0.2500
0.7500 0.7500 0.7500
```

Properties
V: 49.89 Å³/cell
Space group: F-43m

=====

Taking the most stable structure as the zero point, the relative energies in meV per atom are a 0; b 430.

=====

## a
Here is a relaxed structure of NaHoB4 from OQMD via LeMat-Bulk. Energies are from PBE.

```
NaHoB4
1.0
4.0940 -2.4886 -1.6894
3.4240 0.9340 3.6349
-4.4003 -2.3398 -0.9855
B Na Ho
4 1 1
Direct
0.5777 0.2571 0.3206
0.9366 0.2571 0.6794
0.4223 0.7429 0.6794
0.0634 0.7429 0.3206
0.5000 0.5000 0.0000
0.0000 0.0000 0.0000
```

Properties
V: 69.05 Å³/cell
Space group: Immm

=====

## b
Here is a relaxed structure of NaHoB4 from OQMD via LeMat-Bulk. Energies are from PBE.

```
NaHoB4
1.0
3.1888 0.0000 0.0000
-1.5944 2.7616 0.0000
0.0000 0.0000 8.0312
B Ho Na
4 1 1
Direct
0.6667 0.3333 0.7634
0.3333 0.6667 0.7634
0.6667 0.3333 0.2366
0.3333 0.6667 0.2366
0.0000 0.0000 0.0000
0.0000 0.0000 0.5000
```

Properties
V: 70.72 Å³/cell
Space group: P6/mmm

=====

Taking the most stable structure as the zero point, the relative energies in meV per atom are a 0; b 19.

=====

## a
Here is a relaxed structure of HoNiB from OQMD via LeMat-Bulk. Energies are from PBE.

```
HoNiB
1.0
0.0000 2.9043 2.9043
2.9043 0.0000 2.9043
2.9043 2.9043 0.0000
B Ni Ho
1 1 1
Direct
0.2500 0.2500 0.2500
0.0000 0.0000 0.0000
0.7500 0.7500 0.7500
```

Properties
V: 49.00 Å³/cell
Space group: F-43m

=====

## b
Here is a relaxed structure of HoNiB from OQMD via LeMat-Bulk. Energies are from PBE.

```
HoNiB
1.0
3.0629 -2.7072 1.1044
-0.7333 -4.1698 -0.0704
1.8443 -2.4247 -2.9410
Ho Ni B
1 1 1
Direct
0.0000 0.0000 0.0000
0.7500 0.7500 0.7500
0.2500 0.2500 0.2500
```

Properties
V: 53.68 Å³/cell
Space group: F-43m

=====

## c
Here is a relaxed structure of HoNiB from OQMD via LeMat-Bulk. Energies are from PBE.

```
HoNiB
1.0
0.0000 2.8547 2.8547
2.8547 0.0000 2.8547
2.8547 2.8547 0.0000
Ni B Ho
1 1 1
Direct
0.7500 0.7500 0.7500
0.0000 0.0000 0.0000
0.2500 0.2500 0.2500
```

Properties
V: 46.53 Å³/cell
Space group: F-43m

=====

Taking the most stable structure as the zero point, the relative energies in meV per atom are a 255; b 804; c 0.

=====

## a
Here is a relaxed structure of HoNiB4 from OQMD via LeMat-Bulk. Energies are from PBE.

```
HoNiB4
1.0
4.2521 1.3266 -1.7464
-0.2695 4.7385 0.6031
0.1731 -4.0969 2.4648
Ni B Ho
1 4 1
Direct
0.0000 0.0000 0.0000
0.4272 0.7546 0.6726
0.9180 0.2454 0.6726
0.0820 0.7546 0.3274
0.5728 0.2454 0.3274
0.5000 0.5000 0.0000
```

Properties
V: 60.69 Å³/cell
Space group: Immm

=====

## b
Here is a relaxed structure of HoNiB4 from OQMD via LeMat-Bulk. Energies are from PBE.

```
HoNiB4
1.0
3.1740 0.0000 0.0000
-1.5870 2.7487 0.0000
0.0000 0.0000 6.4499
Ho B Ni
1 4 1
Direct
0.0000 0.0000 0.0000
0.6667 0.3333 0.7080
0.6667 0.3333 0.2920
0.3333 0.6667 0.2920
0.3333 0.6667 0.7080
0.0000 0.0000 0.5000
```

Properties
V: 56.27 Å³/cell
Space group: P6/mmm

=====

Taking the most stable structure as the zero point, the relative energies in meV per atom are a 124; b 0.

=====

## a
Here is a relaxed structure of HoBPO from OQMD via LeMat-Bulk. Energies are from PBE.

```
HoBPO
1.0
-2.1478 -0.9281 -2.4445
-0.0246 -6.1534 2.3579
-4.3761 1.3015 3.3508
P Ho O B
2 2 2 2
Direct
0.0000 0.2956 0.4429
0.0000 0.7044 0.9429
0.0000 0.2824 0.9446
0.0000 0.7176 0.4446
0.5000 0.0712 0.9331
0.5000 0.9288 0.4331
0.5000 0.1377 0.4335
0.5000 0.8623 0.9335
```

Properties
V: 126.28 Å³/cell
Space group: Pmc2_1

=====

## b
Here is a relaxed structure of HoBPO from OQMD via LeMat-Bulk. Energies are from PBE.

```
HoBPO
1.0
3.8955 0.0000 0.0000
0.0000 3.8955 0.0000
0.0000 0.0000 6.9804
P Ho O B
2 2 2 2
Direct
0.5000 0.0000 0.3984
0.0000 0.5000 0.6016
0.5000 0.0000 0.8424
0.0000 0.5000 0.1576
0.0000 0.0000 0.0000
0.5000 0.5000 0.0000
0.5000 0.5000 0.5000
0.0000 0.0000 0.5000
```

Properties
V: 105.93 Å³/cell
Space group: P4/nmm

=====

Taking the most stable structure as the zero point, the relative energies in meV per atom are a 97; b 0.